## LaCe2Tm (PBE-GGA)

Data for a relaxed structure of LaCe2Tm.

Computed properties:
VASP energy, eV per atom: -5.2120
Energy relative to the lowest polymorph listed for this composition, eV/atom: 0.0000
Space-group type: P4/mmm (123)
Formation enthalpy at 0 K, eV/f.u.: 0.4

a b c (Å): 5.111 4.924 4.924
angles (deg): 90.00 90.00 90.00
Atoms (fractional coordinates):
Ce 0.000 0.500 0.000
Ce 0.000 0.000 0.500
Tm 0.500 0.500 0.500
La 0.500 0.000 0.000